## InPbAu2 (GGA-PBE)

Data for crystalline InPbAu2 at its relaxed geometry.

energy of formation: -0.27 eV per formula unit
symmetry: R3m
Fermi-level density of states: 0.45 states/eV per atom

```
4
Lattice="-2.2884 2.7382 -1.3292 -3.4078 -0.8999 -1.4417 -5.1175 1.3828 6.2044" Properties=species:S:1:pos:R:3 pbc="T T T"
In -8.9071 2.6064 4.3395
Pb -5.4195 1.6136 1.7448
Au -4.3665 1.2031 4.5413
Au -2.6451 0.7913 0.7293
```



## InPbAu2 (GGA-PBE)

Data for crystalline InPbAu2 at its relaxed geometry.

energy of formation: -0.26 eV per formula unit
symmetry: P2/m
Fermi-level density of states: 0.38 states/eV per atom

```
4
Lattice="-1.6383 1.5742 2.9666 -2.9615 -1.1403 -1.0304 -2.1976 -7.4194 2.7235" Properties=species:S:1:pos:R:3 pbc="T T T"
Pb -4.6885 -5.6326 2.7532
Au -2.9369 -1.2915 -0.9366
Au -2.6041 -4.1286 0.7527
In -2.1089 -1.3528 1.9066
```



## InPbAu2 (GGA-PBE)

Data for crystalline InPbAu2 at its relaxed geometry.

energy of formation: -0.04 eV per formula unit
symmetry: I-42d
Fermi-level density of states: 0.40 states/eV per atom

```
8
Lattice="7.7729 0.0000 0.0000 0.0000 7.7729 0.0000 3.8865 3.8865 3.3023" Properties=species:S:1:pos:R:3 pbc="T T T"
Pb 0.0000 0.0000 0.0000
Pb 7.7729 3.8865 1.6511
Au 5.7169 1.9432 0.8256
Au 2.0560 5.8297 0.8256
Au 5.8297 5.9425 2.4767
Au 9.7162 9.6034 2.4767
In 3.8865 3.8865 0.0000
In 3.8865 7.7729 1.6511
```



## InPb2Au4 (GGA-PBE)

Data for crystalline InPb2Au4 at its relaxed geometry.

energy of formation: -0.64 eV per formula unit
symmetry: P-1
Fermi-level density of states: 0.28 states/eV per atom

```
14
Lattice="-2.7240 -0.6761 5.1635 -4.9929 -2.6164 -2.7203 3.5856 -8.1464 0.1395" Properties=species:S:1:pos:R:3 pbc="T T T"
Pb -5.0855 -2.8165 -1.1368
Pb 0.9542 -8.6224 3.7195
Pb -1.6796 -6.0984 3.1141
Pb -2.4516 -5.3405 -0.5314
Au -3.0541 -8.3973 0.4081
Au -2.3612 -2.2452 -0.2257
Au -1.7700 -9.1937 2.8085
Au -1.8831 -8.0847 -2.2290
Au -4.3844 -6.1519 1.6836
Au -2.2481 -3.3542 4.8117
Au -1.0772 -3.0416 2.1747
Au 0.2531 -5.2870 0.8991
In -0.1810 -7.9841 0.4111
In -3.9502 -3.4548 2.1716
```



## InPb3Au6 (GGA-PBE)

Data for crystalline InPb3Au6 at its relaxed geometry.

energy of formation: -0.17 eV per formula unit
symmetry: R-3c
Fermi-level density of states: 0.48 states/eV per atom

```
20
Lattice="-1.5699 7.7348 -0.0988 -2.4299 -1.2773 7.4003 7.6712 0.7004 1.7215" Properties=species:S:1:pos:R:3 pbc="T T T"
In 0.0000 0.0000 0.0000
In 1.8357 3.5789 4.5115
Pb 0.3646 0.6468 6.0861
Pb 4.8150 2.7849 2.5791
Pb 4.2621 1.6427 6.4102
Pb -0.5907 5.5151 2.6129
Pb -1.1437 4.3729 6.4439
Pb 3.3068 6.5111 2.9369
Au -2.9456 6.2252 4.6981
Au 0.9442 7.8162 1.1725
Au 2.6625 0.9551 3.8986
Au -2.2856 1.5366 7.4682
Au -0.7614 2.6319 3.9615
Au 1.6691 3.1346 7.2898
Au 2.0023 4.0233 1.7333
Au 4.4327 4.5259 5.0615
Au 5.9570 5.6212 1.5549
Au 1.0089 6.2028 5.1244
Au 2.7271 -0.6583 7.8505
Au 6.6169 0.9326 4.3250
```



## InPbAu (GGA-PBE)

Data for crystalline InPbAu at its relaxed geometry.

energy of formation: 0.02 eV per formula unit
symmetry: C2/m
Fermi-level density of states: 0.37 states/eV per atom

```
6
Lattice="-2.7907 1.0495 3.5840 -4.4567 1.1166 -0.7678 -2.6534 -8.2525 3.3811" Properties=species:S:1:pos:R:3 pbc="T T T"
In -7.8493 -4.1368 3.6175
In -6.1950 -5.9813 5.4442
Pb -2.5177 -3.6994 1.5798
Pb -1.6258 -0.3324 1.2844
Au -7.0440 -1.1024 3.3558
Au -4.3469 -0.7632 2.3247
```



Calculated density, respectively: 12.05, 12.98, 11.92, 13.42, 13.21, 10.29 g cm⁻³.